# 1
{
  "formula": "Sm2TmZn2Ge2",
  "functional": "GGA-PBE",
  "state": "relaxed",
  "lattice": [[4.148, 0.000, 0.000], [2.074, 3.592, 0.000], [2.074, 1.197, 11.176]],
  "species": ["Ge", "Ge", "Zn", "Zn", "Sm", "Sm", "Tm"],
  "frac_coords": [[0.271, 0.271, 0.186], [0.729, 0.729, 0.814], [0.610, 0.610, 0.169], [0.390, 0.390, 0.831], [0.122, 0.122, 0.635], [0.878, 0.878, 0.365], [0.000, 0.000, 0.000]],
  "space_group": "R-3m (166)"
}

# 2
{
  "formula": "SmUGe4",
  "functional": "GGA-PBE",
  "state": "relaxed",
  "lattice": [[-4.597, 2.801, 1.617], [-3.750, -2.467, 3.383], [-0.524, 1.703, 5.331]],
  "species": ["U", "Sm", "Ge", "Ge", "Ge", "Ge"],
  "frac_coords": [[0.250, 0.250, 0.250], [0.000, 0.000, 0.000], [0.625, 0.625, 0.625], [0.126, 0.625, 0.625], [0.625, 0.625, 0.126], [0.625, 0.126, 0.625]],
  "space_group": "F-43m (216)"
}

# 3
{
  "formula": "SmVGe2",
  "functional": "GGA-PBE",
  "state": "relaxed",
  "lattice": [[-0.984, 0.499, 4.642], [-0.359, -3.854, 2.790], [6.099, -0.752, 3.826]],
  "species": ["Ge", "Ge", "Sm", "V"],
  "frac_coords": [[0.877, 0.877, 0.370], [0.123, 0.123, 0.630], [0.500, 0.500, 0.500], [0.000, 0.000, 0.000]],
  "space_group": "R-3m (166)"
}

# 4
{
  "formula": "Sm2GeW",
  "functional": "GGA-PBE",
  "state": "relaxed",
  "lattice": [[3.144, 0.000, 0.000], [1.572, 2.723, 0.000], [1.572, 0.908, 10.836]],
  "species": ["Sm", "Sm", "Ge", "W"],
  "frac_coords": [[0.911, 0.911, 0.268], [0.089, 0.089, 0.732], [0.500, 0.500, 0.500], [0.000, 0.000, 0.000]],
  "space_group": "R-3m (166)"
}

# 5
{
  "formula": "Sm4Y3Ge4",
  "functional": "GGA-PBE",
  "state": "relaxed",
  "lattice": [[-2.840, -2.142, -1.275], [3.544, -7.042, 3.937], [-4.886, 6.327, 5.855]],
  "species": ["Ge", "Ge", "Ge", "Ge", "Y", "Y", "Y", "Sm", "Sm", "Sm", "Sm"],
  "frac_coords": [[0.500, 0.223, 0.000], [0.276, 0.776, 0.552], [0.500, 0.777, 0.000], [0.724, 0.224, 0.448], [0.000, 0.500, 0.000], [0.905, 0.905, 0.809], [0.095, 0.095, 0.191], [0.330, 0.505, 0.660], [0.330, 0.154, 0.660], [0.670, 0.846, 0.340], [0.670, 0.495, 0.340]],
  "space_group": "Immm (71)"
}

# 6
{
  "formula": "Sm3Y3Ge4",
  "functional": "GGA-PBE",
  "state": "relaxed",
  "lattice": [[4.329, 0.000, 0.000], [0.000, 7.660, -0.024], [0.000, 0.043, 7.660]],
  "species": ["Sm", "Sm", "Sm", "Ge", "Ge", "Ge", "Ge", "Y", "Y", "Y"],
  "frac_coords": [[0.500, 0.325, 0.327], [0.500, 0.673, 0.675], [0.500, 0.827, 0.173], [0.000, 0.373, 0.627], [0.000, 0.125, 0.121], [0.000, 0.623, 0.377], [0.000, 0.879, 0.875], [0.000, 0.501, 0.000], [0.500, 0.173, 0.827], [0.000, 0.000, 0.499]],
  "space_group": "Amm2 (38)"
}

# 7
{
  "formula": "SmYGe4",
  "functional": "GGA-PBE",
  "state": "relaxed",
  "lattice": [[-0.216, 1.721, 5.400], [0.186, -3.808, 4.200], [4.610, -0.378, 3.284]],
  "species": ["Y", "Ge", "Ge", "Ge", "Ge", "Sm"],
  "frac_coords": [[0.250, 0.250, 0.250], [0.624, 0.127, 0.624], [0.127, 0.624, 0.624], [0.624, 0.624, 0.127], [0.624, 0.624, 0.624], [0.000, 0.000, 0.000]],
  "space_group": "F-43m (216)"
}

# 8
{
  "formula": "SmYGe2",
  "functional": "GGA-PBE",
  "state": "relaxed",
  "lattice": [[-2.847, -2.741, -1.486], [0.234, -1.326, -4.002], [3.078, -6.508, 0.109]],
  "species": ["Ge", "Ge", "Y", "Sm"],
  "frac_coords": [[0.251, 0.251, 0.246], [0.749, 0.749, 0.754], [0.000, 0.000, 0.000], [0.500, 0.500, 0.500]],
  "space_group": "R-3m (166)"
}

# 9
{
  "formula": "Sm2Y3Ge4",
  "functional": "GGA-PBE",
  "state": "relaxed",
  "lattice": [[7.659, -0.228, 0.000], [-2.739, 7.517, 0.000], [0.000, 0.000, 7.861]],
  "species": ["Ge", "Ge", "Ge", "Ge", "Ge", "Ge", "Ge", "Ge", "Y", "Y", "Y", "Y", "Y", "Y", "Sm", "Sm", "Sm", "Sm"],
  "frac_coords": [[0.172, 0.912, 0.464], [0.871, 0.492, 0.130], [0.672, 0.912, 0.036], [0.129, 0.508, 0.870], [0.328, 0.088, 0.964], [0.629, 0.508, 0.630], [0.371, 0.492, 0.370], [0.828, 0.088, 0.536], [0.269, 0.762, 0.164], [0.769, 0.762, 0.336], [0.731, 0.238, 0.836], [0.231, 0.238, 0.664], [0.000, 0.500, 0.500], [0.500, 0.500, 0.000], [0.564, 0.198, 0.319], [0.064, 0.198, 0.181], [0.436, 0.802, 0.681], [0.936, 0.802, 0.819]],
  "space_group": "P2_1/c (14)"
}

# 10
{
  "formula": "SmYGe",
  "functional": "GGA-PBE",
  "state": "relaxed",
  "lattice": [[-0.436, -4.006, 2.873], [3.898, -1.636, 2.572], [0.087, 0.466, 4.926]],
  "species": ["Sm", "Ge", "Y"],
  "frac_coords": [[0.500, 0.500, 0.500], [0.250, 0.250, 0.250], [0.000, 0.000, 0.000]],
  "space_group": "F-43m (216)"
}

# 11
{
  "formula": "Sm4YGe4",
  "functional": "GGA-PBE",
  "state": "relaxed",
  "lattice": [[-5.675, -0.046, -1.971], [-2.984, -0.528, 8.605], [-0.239, 9.107, 0.476]],
  "species": ["Sm", "Sm", "Sm", "Sm", "Sm", "Sm", "Sm", "Sm", "Ge", "Ge", "Ge", "Ge", "Ge", "Ge", "Ge", "Ge", "Y", "Y"],
  "frac_coords": [[0.376, 0.688, 0.085], [0.124, 0.188, 0.585], [0.876, 0.415, 0.188], [0.624, 0.085, 0.312], [0.624, 0.915, 0.688], [0.876, 0.585, 0.812], [0.376, 0.312, 0.915], [0.124, 0.812, 0.415], [0.631, 0.232, 0.625], [0.369, 0.375, 0.232], [0.131, 0.875, 0.732], [0.131, 0.125, 0.268], [0.869, 0.732, 0.125], [0.369, 0.625, 0.768], [0.869, 0.268, 0.875], [0.631, 0.768, 0.375], [0.000, 0.000, 0.000], [0.500, 0.500, 0.500]],
  "space_group": "P4_2/n (86)"
}

# 12
{
  "formula": "SmY4Ge4",
  "functional": "GGA-PBE",
  "state": "relaxed",
  "lattice": [[-1.370, -0.428, -5.639], [-0.466, -9.199, 0.811], [-8.974, 0.643, 2.132]],
  "species": ["Y", "Y", "Y", "Y", "Y", "Y", "Y", "Y", "Ge", "Ge", "Ge", "Ge", "Ge", "Ge", "Ge", "Ge", "Sm", "Sm"],
  "frac_coords": [[0.612, 0.098, 0.334], [0.888, 0.598, 0.834], [0.388, 0.334, 0.902], [0.888, 0.402, 0.166], [0.612, 0.902, 0.666], [0.112, 0.834, 0.402], [0.112, 0.166, 0.598], [0.388, 0.666, 0.098], [0.890, 0.282, 0.864], [0.110, 0.136, 0.282], [0.110, 0.864, 0.718], [0.390, 0.364, 0.218], [0.390, 0.636, 0.782], [0.610, 0.782, 0.364], [0.890, 0.718, 0.136], [0.610, 0.218, 0.636], [0.500, 0.500, 0.500], [0.000, 0.000, 0.000]],
  "space_group": "P4_2/n (86)"
}

# 13
{
  "formula": "Sm2YGe",
  "functional": "GGA-PBE",
  "state": "relaxed",
  "lattice": [[3.777, 0.000, 0.000], [1.889, 3.271, 0.000], [1.889, 1.090, 10.038]],
  "species": ["Sm", "Sm", "Ge", "Y"],
  "frac_coords": [[0.267, 0.267, 0.198], [0.733, 0.733, 0.802], [0.000, 0.000, 0.000], [0.500, 0.500, 0.500]],
  "space_group": "R-3m (166)"
}

# 14
{
  "formula": "Sm3YGe3",
  "functional": "GGA-PBE",
  "state": "relaxed",
  "lattice": [[5.890, 0.000, 0.000], [0.000, 9.055, 0.000], [0.000, -4.528, 7.842]],
  "species": ["Sm", "Sm", "Sm", "Sm", "Sm", "Sm", "Y", "Y", "Ge", "Ge", "Ge", "Ge", "Ge", "Ge"],
  "frac_coords": [[0.750, 0.967, 0.302], [0.250, 0.665, 0.967], [0.250, 0.033, 0.698], [0.250, 0.302, 0.335], [0.750, 0.698, 0.665], [0.750, 0.335, 0.033], [0.250, 0.667, 0.333], [0.750, 0.333, 0.667], [0.250, 0.351, 0.013], [0.750, 0.338, 0.351], [0.750, 0.649, 0.987], [0.250, 0.662, 0.649], [0.750, 0.013, 0.662], [0.250, 0.987, 0.338]],
  "space_group": "P6_3/m (176)"
}

# 15
{
  "formula": "SmYGe2",
  "functional": "GGA-PBE",
  "state": "relaxed",
  "lattice": [[-3.779, 1.321, 0.026], [-0.476, -1.250, -5.702], [-2.581, -7.422, 1.842]],
  "species": ["Ge", "Ge", "Ge", "Ge", "Y", "Y", "Sm", "Sm"],
  "frac_coords": [[0.500, 0.107, 0.960], [0.000, 0.609, 0.540], [0.000, 0.391, 0.040], [0.500, 0.893, 0.460], [0.000, 0.131, 0.681], [0.000, 0.869, 0.181], [0.500, 0.368, 0.319], [0.500, 0.632, 0.819]],
  "space_group": "Pmc2_1 (26)"
}

# 16
{
  "formula": "Sm2YGe2",
  "functional": "GGA-PBE",
  "state": "relaxed",
  "lattice": [[4.411, 0.000, 0.000], [2.206, 6.222, 0.159], [2.206, 1.191, 9.601]],
  "species": ["Sm", "Sm", "Sm", "Sm", "Ge", "Ge", "Ge", "Ge", "Y", "Y"],
  "frac_coords": [[0.679, 0.728, 0.913], [0.321, 0.272, 0.087], [0.516, 0.655, 0.313], [0.484, 0.345, 0.687], [0.978, 0.152, 0.891], [0.116, 0.329, 0.438], [0.022, 0.848, 0.109], [0.884, 0.671, 0.562], [0.779, 0.081, 0.361], [0.221, 0.919, 0.639]],
  "space_group": "C2/m (12)"
}

# 17
{
  "formula": "Sm2YGe",
  "functional": "GGA-PBE",
  "state": "relaxed",
  "lattice": [[-4.181, -1.842, 1.538], [1.907, -0.810, 4.215], [-1.352, 4.264, 1.431]],
  "species": ["Sm", "Sm", "Ge", "Y"],
  "frac_coords": [[0.000, 0.000, 0.500], [0.000, 0.500, 0.000], [0.500, 0.500, 0.500], [0.500, 0.000, 0.000]],
  "space_group": "P4/mmm (123)"
}

# 18
{
  "formula": "SmYGe",
  "functional": "GGA-PBE",
  "state": "relaxed",
  "lattice": [[-3.978, -1.501, 0.360], [4.055, -4.645, 0.146], [-1.374, 5.167, 6.372]],
  "species": ["Y", "Y", "Sm", "Sm", "Ge", "Ge"],
  "frac_coords": [[0.827, 0.653, 0.424], [0.173, 0.347, 0.576], [0.414, 0.828, 0.136], [0.586, 0.172, 0.864], [0.129, 0.259, 0.168], [0.871, 0.741, 0.832]],
  "space_group": "C2/m (12)"
}

# 19
{
  "formula": "Sm2YGe2",
  "functional": "GGA-PBE",
  "state": "relaxed",
  "lattice": [[-0.340, 4.335, -0.189], [-1.020, -0.412, -7.598], [-7.585, -0.550, 1.048]],
  "species": ["Sm", "Sm", "Sm", "Sm", "Ge", "Ge", "Ge", "Ge", "Y", "Y"],
  "frac_coords": [[0.500, 0.174, 0.674], [0.500, 0.826, 0.326], [0.500, 0.674, 0.826], [0.500, 0.326, 0.174], [0.000, 0.123, 0.377], [0.000, 0.623, 0.123], [0.000, 0.877, 0.623], [0.000, 0.377, 0.877], [0.000, 0.500, 0.500], [0.000, 0.000, 0.000]],
  "space_group": "P4/mbm (127)"
}

# 20
{
  "formula": "SmYGe2",
  "functional": "GGA-PBE",
  "state": "relaxed",
  "lattice": [[-2.427, 0.489, -3.582], [-3.327, -0.160, 2.232], [1.375, 5.147, 2.419]],
  "species": ["Ge", "Ge", "Y", "Sm"],
  "frac_coords": [[0.999, 0.000, 0.536], [0.166, 0.500, 0.872], [0.445, 0.500, 0.429], [0.721, 0.000, 0.981]],
  "space_group": "Amm2 (38)"
}

Number 1: total moment 0.00 μB/f.u., electronic total energy -4.116 eV per atom. Number 2: total moment 3.86 μB/f.u., electronic total energy -5.856 eV per atom. Number 3: total moment 3.42 μB/f.u., electronic total energy -4.998 eV per atom. Number 4: total moment 0.00 μB/f.u., electronic total energy -6.135 eV per atom. Number 5: total moment 0.00 μB/f.u., electronic total energy -5.776 eV per atom. Number 6: total moment 0.00 μB/f.u., electronic total energy -6.001 eV per atom. Number 7: total moment 0.00 μB/f.u., electronic total energy -5.276 eV per atom. Number 8: total moment 0.00 μB/f.u., electronic total energy -5.776 eV per atom. Number 9: total moment 0.00 μB/f.u., electronic total energy -6.145 eV per atom. Number 10: total moment 0.00 μB/f.u., electronic total energy -5.823 eV per atom. Number 11: total moment 0.00 μB/f.u., electronic total energy -5.463 eV per atom. Number 12: total moment 0.00 μB/f.u., electronic total energy -6.058 eV per atom. Number 13: total moment 0.00 μB/f.u., electronic total energy -5.325 eV per atom. Number 14: total moment 0.00 μB/f.u., electronic total energy -5.506 eV per atom. Number 15: total moment 0.00 μB/f.u., electronic total energy -5.979 eV per atom. Number 16: total moment 0.00 μB/f.u., electronic total energy -5.736 eV per atom. Number 17: total moment 0.00 μB/f.u., electronic total energy -5.461 eV per atom. Number 18: total moment 0.00 μB/f.u., electronic total energy -5.855 eV per atom. Number 19: total moment 0.00 μB/f.u., electronic total energy -5.825 eV per atom. Number 20: total moment 0.00 μB/f.u., electronic total energy -5.983 eV per atom.